<1>
# ZrSeCl2

An optimized crystal structure of ZrSeCl2 (GGA-PBE, Alexandria via LeMat-Bulk).

Results
The calculation puts the volume at 101 Å³/cell. For the density of states at the Fermi level, the calculation gives 2.115 states/eV per cell. As for the crystal system: tetragonal. The symmetry is No. 99.

a = 3.580 Å, b = 3.580 Å, c = 7.894 Å
α = 90.00°, β = 90.00°, γ = 90.00°
Atoms (fractional coordinates):
Zr 0.000 0.000 0.000
Se 0.500 0.500 0.854
Cl 0.000 0.000 0.673
Cl 0.500 0.500 0.234

<2>
# ZrSeCl2

An optimized crystal structure of ZrSeCl2 (GGA-PBE, Alexandria via LeMat-Bulk).

Results
The calculation puts the volume at 224 Å³/cell. For the density of states at the Fermi level, the calculation gives 0.000 states/eV per cell. As for the crystal system: tetragonal. The symmetry is No. 122.

a = 7.086 Å, b = 7.086 Å, c = 7.086 Å
α = 97.56°, β = 97.56°, γ = 137.45°
Atoms (fractional coordinates):
Zr 0.000 0.000 0.000
Zr 0.750 0.250 0.500
Se 0.250 0.750 0.500
Se 0.500 0.500 0.000
Cl 0.375 0.231 0.356
Cl 0.769 0.125 0.144
Cl 0.875 0.019 0.644
Cl 0.981 0.625 0.856

<3>
# ZrSeCl2

An optimized crystal structure of ZrSeCl2 (GGA-PBE, Alexandria via LeMat-Bulk).

Results
The calculation puts the volume at 83 Å³/cell. For the density of states at the Fermi level, the calculation gives 2.960 states/eV per cell. As for the crystal system: orthorhombic. The symmetry is No. 65.

a = 5.269 Å, b = 5.269 Å, c = 3.282 Å
α = 90.00°, β = 90.00°, γ = 114.70°
Atoms (fractional coordinates):
Zr 0.000 0.000 0.000
Se 0.500 0.500 0.000
Cl 0.000 0.500 0.500
Cl 0.500 0.000 0.500

So which one is most stable? That would be <2>, about 22.4 kJ/mol of atoms below the next structure.

<1>
# ZrSeCl2

An optimized crystal structure of ZrSeCl2 (GGA-PBE, Alexandria via LeMat-Bulk).

Results
The calculation puts the volume at 82 Å³/cell. For the density of states at the Fermi level, the calculation gives 2.865 states/eV per cell. As for the crystal system: tetragonal. The symmetry is No. 123.

a = 4.116 Å, b = 4.116 Å, c = 4.817 Å
α = 90.00°, β = 90.00°, γ = 90.00°
Atoms (fractional coordinates):
Zr 0.000 0.000 0.000
Se 0.500 0.500 0.000
Cl 0.000 0.500 0.500
Cl 0.500 0.000 0.500

<2>
# ZrSeCl2

An optimized crystal structure of ZrSeCl2 (GGA-PBE, Alexandria via LeMat-Bulk).

Results
The calculation puts the volume at 79 Å³/cell. For the density of states at the Fermi level, the calculation gives 0.203 states/eV per cell. As for the crystal system: cubic. The symmetry is No. 216.

a = 4.812 Å, b = 4.812 Å, c = 4.812 Å
α = 60.00°, β = 60.00°, γ = 60.00°
Atoms (fractional coordinates):
Zr 0.000 0.000 0.000
Se 0.750 0.750 0.750
Cl 0.250 0.250 0.250
Cl 0.500 0.500 0.500

So which one is most stable? That would be <2>, about 34.4 kJ/mol of atoms below the next structure.